Record 1
# FeCoSi2 | Alexandria | PBE-GGA | relaxed
data_FeCoSi2
_space_group_name_H-M_alt 'P 1'
_space_group_IT_number 1
_space_group_name_Hall 'P 1'
_cell_length_a 3.9670
_cell_length_b 3.9670
_cell_length_c 4.6019
_cell_angle_alpha 78.93
_cell_angle_beta 78.93
_cell_angle_gamma 39.02
loop_
_atom_site_label
_atom_site_type_symbol
_atom_site_fract_x
_atom_site_fract_y
_atom_site_fract_z
Fe1 Fe 0.2500 0.2500 0.2500
Co1 Co 0.7500 0.7500 0.7500
Si1 Si 0.9990 0.9990 0.0036
Si2 Si 0.5010 0.5010 0.4964
# energy relative to the elements, uncorrected	-0.310	eV/atom
# space-group type	No. 12

---

Record 2
# CsCaRu2O8 | Alexandria | PBE-GGA | relaxed
data_CsCaRu2O8
_space_group_name_H-M_alt 'P 1'
_space_group_IT_number 1
_space_group_name_Hall 'P 1'
_cell_length_a 5.7368
_cell_length_b 5.7368
_cell_length_c 9.0235
_cell_angle_alpha 71.46
_cell_angle_beta 71.46
_cell_angle_gamma 60.00
loop_
_atom_site_label
_atom_site_type_symbol
_atom_site_fract_x
_atom_site_fract_y
_atom_site_fract_z
O1 O 0.7486 0.0000 0.8381
Ru1 Ru 0.7427 0.7427 0.7719
O2 O 0.2514 0.0000 0.1619
O3 O 0.4134 0.7486 0.8381
O4 O 0.0000 0.4134 0.8381
O5 O 0.1874 0.1874 0.4377
Cs1 Cs 0.5000 0.5000 0.5000
Ru2 Ru 0.2573 0.2573 0.2281
O6 O 0.5866 0.2514 0.1619
Ca1 Ca 0.0000 0.0000 0.0000
O7 O 0.0000 0.5866 0.1619
O8 O 0.8126 0.8126 0.5623
# energy relative to the elements, uncorrected	-1.337	eV/atom
# space-group type	No. 148

---

Record 3
# K2LiZnBr5 | Alexandria | PBE-GGA | relaxed
data_K2LiZnBr5
_space_group_name_H-M_alt 'P 1'
_space_group_IT_number 1
_space_group_name_Hall 'P 1'
_cell_length_a 4.1130
_cell_length_b 10.2507
_cell_length_c 13.6733
_cell_angle_alpha 90.00
_cell_angle_beta 90.00
_cell_angle_gamma 101.57
loop_
_atom_site_label
_atom_site_type_symbol
_atom_site_fract_x
_atom_site_fract_y
_atom_site_fract_z
Br1 Br 0.3450 0.6899 0.0034
Br2 Br 0.4974 0.9948 0.2764
Br3 Br 0.6808 0.3616 0.8821
Br4 Br 0.9612 0.9223 0.5256
Li1 Li 0.2213 0.4427 0.0446
Zn1 Zn 0.4354 0.8708 0.4282
Zn2 Zn 0.5646 0.1292 0.9282
Br5 Br 0.0388 0.0777 0.0256
Br6 Br 0.6550 0.3101 0.5034
Br7 Br 0.3192 0.6384 0.3821
Br8 Br 0.7039 0.4077 0.1598
K1 K 0.8689 0.7379 0.1871
Br9 Br 0.5026 0.0052 0.7764
K2 K 0.1322 0.2644 0.3168
K3 K 0.1311 0.2621 0.6871
K4 K 0.8678 0.7356 0.8168
Br10 Br 0.2961 0.5923 0.6598
Li2 Li 0.7787 0.5573 0.5446
# energy relative to the elements, uncorrected	-1.404	eV/atom
# space-group type	No. 36

---

Record 4
# TbTe3 | Alexandria | PBE-GGA | relaxed
data_TbTe3
_space_group_name_H-M_alt 'P 1'
_space_group_IT_number 1
_space_group_name_Hall 'P 1'
_cell_length_a 4.3567
_cell_length_b 5.9879
_cell_length_c 6.0800
_cell_angle_alpha 119.50
_cell_angle_beta 110.99
_cell_angle_gamma 90.00
loop_
_atom_site_label
_atom_site_type_symbol
_atom_site_fract_x
_atom_site_fract_y
_atom_site_fract_z
Tb1 Tb 0.0000 0.0742 0.0000
Te1 Te 0.6916 0.0188 0.3832
Te2 Te 0.3084 0.6356 0.6168
Te3 Te 0.5000 0.4381 0.0000
# energy relative to the elements, uncorrected	-0.720	eV/atom
# space-group type	No. 44

---

> Which formula does entry 2 have?

CsCaRu2O8